Crystalline Be2SiPb at its relaxed geometry. Source: the Alexandria database, functional PBE.

## Properties
Symmetry: P4/mmm, No. 123
Energy above the most stable polymorph in this dataset, eV/f.u.: 1.404
ΔE_f (raw), meV per atom: 607

```
Be2SiPb
1.0
-1.856 2.231 -1.376
-1.817 -2.310 -1.295
-3.767 0.061 5.178
Pb Be Si
1 2 1
direct
0.500 0.500 0.250
0.000 0.000 0.913
0.000 0.000 0.587
0.500 0.500 0.750
```